[1]
# YSn2P2Pd7

A geometry-optimized YSn2P2Pd7 structure (PBE-GGA, the Alexandria database).

abc: 4.128 4.128 12.796
angles: 96.19 96.19 89.23
Sites, in units of the cell vectors:
Y (0.000, 0.000, 0.000)
Sn (0.103, 0.103, 0.347)
Sn (0.897, 0.897, 0.653)
P (0.413, 0.413, 0.732)
P (0.587, 0.587, 0.268)
Pd (0.054, 0.555, 0.168)
Pd (0.294, 0.294, 0.548)
Pd (0.445, 0.946, 0.832)
Pd (0.500, 0.500, 0.000)
Pd (0.555, 0.054, 0.168)
Pd (0.706, 0.706, 0.452)
Pd (0.946, 0.445, 0.832)

Summary:
- symmetry = C2/m
- calculated formation energy (eV per atom) = -0.499

[2]
# SrPPd3

A geometry-optimized SrPPd3 structure (PBE-GGA, the Alexandria database).

abc: 8.630 8.630 8.630
angles: 60.00 60.00 60.00
Sites, in units of the cell vectors:
Sr (0.000, 0.000, 0.000)
Sr (0.000, 0.000, 0.500)
Sr (0.000, 0.500, 0.000)
Sr (0.500, 0.000, 0.000)
P (0.000, 0.500, 0.500)
P (0.500, 0.000, 0.500)
P (0.500, 0.500, 0.000)
P (0.500, 0.500, 0.500)
Pd (0.185, 0.185, 0.565)
Pd (0.185, 0.565, 0.185)
Pd (0.185, 0.565, 0.565)
Pd (0.435, 0.435, 0.815)
Pd (0.435, 0.815, 0.435)
Pd (0.435, 0.815, 0.815)
Pd (0.565, 0.185, 0.185)
Pd (0.565, 0.185, 0.565)
Pd (0.565, 0.565, 0.185)
Pd (0.815, 0.435, 0.435)
Pd (0.815, 0.435, 0.815)
Pd (0.815, 0.815, 0.435)

Summary:
- symmetry = Fd-3m
- calculated formation energy (eV per atom) = -0.465

[3]
# SrPPd

A geometry-optimized SrPPd structure (PBE-GGA, the Alexandria database).

abc: 9.858 9.858 9.858
angles: 155.12 155.10 35.49
Sites, in units of the cell vectors:
Sr (0.000, 0.000, 0.000)
Sr (0.798, 0.298, 0.500)
P (0.375, 0.875, 0.500)
P (0.627, 0.127, 0.500)
Pd (0.167, 0.167, 0.000)
Pd (0.423, 0.423, 0.000)

Summary:
- symmetry = Imm2
- calculated formation energy (eV per atom) = -0.563

[4]
# Sr3P4Pd

A geometry-optimized Sr3P4Pd structure (PBE-GGA, the Alexandria database).

abc: 8.475 8.475 8.475
angles: 147.98 141.87 50.62
Sites, in units of the cell vectors:
Sr (0.000, 0.000, 0.000)
Sr (0.310, 0.810, 0.500)
Sr (0.690, 0.190, 0.500)
P (0.084, 0.381, 0.703)
P (0.322, 0.619, 0.703)
P (0.678, 0.381, 0.297)
P (0.916, 0.619, 0.297)
Pd (0.500, 0.500, 0.000)

Summary:
- symmetry = Immm
- calculated formation energy (eV per atom) = -0.922

Number 1: calculated total energy -67.63 eV per cell, DOS at the Fermi energy 0.48 states/eV per atom. Number 2: calculated total energy -99.98 eV per cell, DOS at the Fermi energy 0.59 states/eV per atom. Number 3: calculated total energy -27.95 eV per cell, DOS at the Fermi energy 0.59 states/eV per atom. Number 4: calculated total energy -39.25 eV per cell, DOS at the Fermi energy 0.41 states/eV per atom.